Entry 1:
Material: LaY6Tm2Sc3
Method: DFT, PBE-GGA
State: relaxed

## Properties
DFT formation energy	57	meV/atom
SG	C2/m (12)
magnetization	0.0	μB/cell

Cell and atoms, written as POSCAR:
```
LaY6Tm2Sc3
1.0
3.039 -5.264 0.000
3.039 5.264 0.000
-2.026 0.000 11.363
La Y Tm Sc
1 6 2 3
Direct
0.000 0.000 0.000
0.087 0.422 0.260
0.248 0.248 0.739
0.422 0.087 0.260
0.578 0.913 0.740
0.752 0.752 0.261
0.913 0.578 0.740
0.333 0.667 0.000
0.667 0.333 0.000
0.167 0.833 0.500
0.500 0.500 0.500
0.833 0.167 0.500
```

---

Entry 2:
Material: La6Y2TmSc
Method: DFT, PBE-GGA
State: relaxed

## Properties
DFT formation energy	213	meV/atom
SG	C2/m (12)
magnetization	0.0	μB/cell

Cell and atoms, written as POSCAR:
```
La6Y2TmSc
1.0
5.911 -3.511 0.000
5.911 3.511 0.000
-2.672 0.000 8.428
La Y Tm Sc
6 2 1 1
Direct
0.099 0.603 0.706
0.152 0.152 0.900
0.397 0.901 0.294
0.603 0.099 0.706
0.848 0.848 0.100
0.901 0.397 0.294
0.399 0.399 0.324
0.601 0.601 0.676
0.500 0.500 0.000
0.000 0.000 0.500
```

---

Entry 3:
Material: LaY2TmSc
Method: DFT, PBE-GGA
State: relaxed

## Properties
DFT formation energy	219	meV/atom
SG	Pmmm (47)
magnetization	0.0	μB/cell

Cell and atoms, written as POSCAR:
```
LaY2TmSc
1.0
3.574 0.000 0.000
0.000 5.451 0.000
0.000 0.000 8.426
La Y Tm Sc
1 2 1 1
Direct
0.000 0.000 0.000
0.000 0.500 0.314
0.000 0.500 0.686
0.500 0.000 0.500
0.500 0.500 0.000
```

---

Entry 4:
Material: LaY5Tm2Sc
Method: DFT, PBE-GGA
State: relaxed

## Properties
DFT formation energy	160	meV/atom
SG	Cmc2_1 (36)
magnetization	0.0	μB/cell

Cell and atoms, written as POSCAR:
```
LaY5Tm2Sc
1.0
2.752 -10.006 0.000
2.752 10.006 0.000
0.000 0.000 10.524
La Y Tm Sc
2 10 4 2
Direct
0.118 0.882 0.500
0.882 0.118 0.000
0.015 0.985 0.805
0.115 0.885 0.087
0.203 0.797 0.805
0.279 0.721 0.513
0.484 0.516 0.079
0.516 0.484 0.579
0.721 0.279 0.013
0.797 0.203 0.305
0.885 0.115 0.587
0.985 0.015 0.305
0.387 0.613 0.800
0.407 0.593 0.358
0.593 0.407 0.858
0.613 0.387 0.300
0.302 0.698 0.110
0.698 0.302 0.610
```

---

> DFT formation energy of number 3 (LaY2TmSc)?

219 meV/atom

---

> Number 3 is which compound?

LaY2TmSc

---

Copy entry 3 word for word.
Material: LaY2TmSc
Method: DFT, PBE-GGA
State: relaxed

## Properties
DFT formation energy	219	meV/atom
SG	Pmmm (47)
magnetization	0.0	μB/cell

Cell and atoms, written as POSCAR:
```
LaY2TmSc
1.0
3.574 0.000 0.000
0.000 5.451 0.000
0.000 0.000 8.426
La Y Tm Sc
1 2 1 1
Direct
0.000 0.000 0.000
0.000 0.500 0.314
0.000 0.500 0.686
0.500 0.000 0.500
0.500 0.500 0.000
```

---

Copy entry 4 word for word.
Material: LaY5Tm2Sc
Method: DFT, PBE-GGA
State: relaxed

## Properties
DFT formation energy	160	meV/atom
SG	Cmc2_1 (36)
magnetization	0.0	μB/cell

Cell and atoms, written as POSCAR:
```
LaY5Tm2Sc
1.0
2.752 -10.006 0.000
2.752 10.006 0.000
0.000 0.000 10.524
La Y Tm Sc
2 10 4 2
Direct
0.118 0.882 0.500
0.882 0.118 0.000
0.015 0.985 0.805
0.115 0.885 0.087
0.203 0.797 0.805
0.279 0.721 0.513
0.484 0.516 0.079
0.516 0.484 0.579
0.721 0.279 0.013
0.797 0.203 0.305
0.885 0.115 0.587
0.985 0.015 0.305
0.387 0.613 0.800
0.407 0.593 0.358
0.593 0.407 0.858
0.613 0.387 0.300
0.302 0.698 0.110
0.698 0.302 0.610
```